Record 1
# PBE Dy12Ho3Cd, relaxed
data_Dy12Ho3Cd
_cell_length_a 4.9508
_cell_length_b 4.9508
_cell_length_c 20.0039
_cell_angle_alpha 90.00
_cell_angle_beta 90.00
_cell_angle_gamma 90.00
_space_group_name_H-M_alt 'P 4/m m m'
_space_group_IT_number 123
_space_group_name_Hall '-P 4 2'
loop_
_atom_site_label
_atom_site_type_symbol
_atom_site_fract_x
_atom_site_fract_y
_atom_site_fract_z
Dy1 Dy 0.0000 0.0000 0.0000
Dy2 Dy 0.0000 0.0000 0.2447
Dy3 Dy 0.0000 0.0000 0.5000
Dy4 Dy 0.0000 0.5000 0.1216
Dy5 Dy 0.0000 0.5000 0.3734
Ho1 Ho 0.5000 0.5000 0.2477
Ho2 Ho 0.5000 0.5000 0.5000
Cd1 Cd 0.5000 0.5000 0.0000
# **E_form**: -5 meV per atom
# **Calculated density**: 8661 kg/m3
# **Total moment**: 0.000 μB per cell
# **Fermi-level density of states**: 1.293 states/eV per atom



Record 2
# PBE Dy5HoCd4, relaxed
data_Dy5HoCd4
_cell_length_a 3.6814
_cell_length_b 3.6814
_cell_length_c 20.2348
_cell_angle_alpha 90.00
_cell_angle_beta 90.00
_cell_angle_gamma 90.00
_space_group_name_H-M_alt 'P 4/m m m'
_space_group_IT_number 123
_space_group_name_Hall '-P 4 2'
loop_
_atom_site_label
_atom_site_type_symbol
_atom_site_fract_x
_atom_site_fract_y
_atom_site_fract_z
Dy1 Dy 0.0000 0.0000 0.0000
Dy2 Dy 0.0000 0.0000 0.1890
Dy3 Dy 0.0000 0.0000 0.3807
Ho1 Ho 0.5000 0.5000 0.5000
Cd1 Cd 0.5000 0.5000 0.0950
Cd2 Cd 0.5000 0.5000 0.2852
# **E_form**: -237 meV per atom
# **Calculated density**: 8641 kg/m3
# **Total moment**: 0.006 μB per cell
# **Fermi-level density of states**: 1.369 states/eV per atom



Record 3
# PBE DyHoCd2, relaxed
data_DyHoCd2
_cell_length_a 5.2664
_cell_length_b 5.2664
_cell_length_c 3.7600
_cell_angle_alpha 90.00
_cell_angle_beta 90.00
_cell_angle_gamma 90.00
_space_group_name_H-M_alt 'P 4/m m m'
_space_group_IT_number 123
_space_group_name_Hall '-P 4 2'
loop_
_atom_site_label
_atom_site_type_symbol
_atom_site_fract_x
_atom_site_fract_y
_atom_site_fract_z
Dy1 Dy 0.0000 0.0000 0.0000
Ho1 Ho 0.5000 0.5000 0.0000
Cd1 Cd 0.0000 0.5000 0.5000
# **E_form**: -319 meV per atom
# **Calculated density**: 8794 kg/m3
# **Total moment**: 0.000 μB per cell
# **Fermi-level density of states**: 1.066 states/eV per atom



- The lowest E_form belongs to which entry?
  DyHoCd2



- Fermi-level density of states of number 2 (Dy5HoCd4)?
  1.369 states/eV per atom